DFT (PBE) results for a geometry-optimized Th2TlPd structure.

The volume comes out at 29.63 Å³ per atom. Its excess energy over the best structure of this formula in the dataset is 110 meV/atom. For the mass density, the calculation gives 10.9 g cm⁻³. The formation energy comes out at -107 kJ/mol of formula units.

It has space group R-3m (No. 166, hexagonal axes), with a = 3.9948 Å, b = 3.9948 Å, c = 25.7248 Å, α = 90.00°, β = 90.00° and γ = 120.00°. The asymmetric unit holds Th at (0.0000, 0.0000, 0.2375), Tl at (0.0000, 0.0000, 0.0000) and Pd at (0.0000, 0.0000, 0.5000).

DFT (PBE) results for a geometry-optimized Th3TlPd12 structure.

The volume comes out at 18.37 Å³ per atom. For the mass density, the calculation gives 12.3 g cm⁻³. The formation energy comes out at -1219 kJ/mol of formula units.

It has space group P4/mmm (No. 123), with a = 4.196 Å, b = 4.196 Å, c = 16.695 Å, α = 90.00°, β = 90.00° and γ = 90.00°. The asymmetric unit holds Th at (0.000, 0.000, 0.000), Th at (0.000, 0.000, 0.257), Tl at (0.000, 0.000, 0.500), Pd at (0.000, 0.500, 0.126), Pd at (0.000, 0.500, 0.377), Pd at (0.500, 0.500, 0.000), Pd at (0.500, 0.500, 0.251) and Pd at (0.500, 0.500, 0.500).

DFT (PBE) results for a geometry-optimized Th2TlPd structure.

The volume comes out at 26.51 Å³ per atom. Its excess energy over the best structure of this formula in the dataset is 0 meV/atom. For the mass density, the calculation gives 12.1 g cm⁻³. The formation energy comes out at -149 kJ/mol of formula units.

It has space group P4/mmm (No. 123), with a = 3.514 Å, b = 3.514 Å, c = 8.591 Å, α = 90.00°, β = 90.00° and γ = 90.00°. The asymmetric unit holds Th at (0.000, 0.000, 0.221), Tl at (0.500, 0.500, 0.500) and Pd at (0.500, 0.500, 0.000).

DFT (PBE) results for a geometry-optimized Th2TlPd9 structure.

The volume comes out at 18.22 Å³ per atom. For the mass density, the calculation gives 12.4 g cm⁻³. The formation energy comes out at -856 kJ/mol of formula units.

It has space group P4/mmm (No. 123), with a = 4.189 Å, b = 4.189 Å, c = 12.458 Å, α = 90.00°, β = 90.00° and γ = 90.00°. The asymmetric unit holds Th at (0.000, 0.000, 0.173), Tl at (0.000, 0.000, 0.500), Pd at (0.000, 0.500, 0.000), Pd at (0.000, 0.500, 0.335), Pd at (0.500, 0.500, 0.169) and Pd at (0.500, 0.500, 0.500).

DFT (PBE) results for a geometry-optimized Th2TlPd structure.

The volume comes out at 28.89 Å³ per atom. Its excess energy over the best structure of this formula in the dataset is 134 meV/atom. For the mass density, the calculation gives 11.1 g cm⁻³. The formation energy comes out at -98 kJ/mol of formula units.

It has space group R3m (No. 160, hexagonal axes), with a = 3.7825 Å, b = 3.7825 Å, c = 27.9760 Å, α = 90.00°, β = 90.00° and γ = 120.00°. The asymmetric unit holds Th at (0.0000, 0.0000, 0.0000), Th at (0.0000, 0.0000, 0.1912), Tl at (0.0000, 0.0000, 0.4301) and Pd at (0.0000, 0.0000, 0.5965).

DFT (PBE) results for a geometry-optimized ThTlPd4 structure.

The volume comes out at 19.62 Å³ per atom. Its excess energy over the best structure of this formula in the dataset is 66 meV/atom. For the mass density, the calculation gives 12.2 g cm⁻³. The formation energy comes out at -314 kJ/mol of formula units.

It has space group P2_1/m (No. 11), with a = 5.811 Å, b = 5.772 Å, c = 7.120 Å, α = 90.00°, β = 99.59° and γ = 90.00°. The asymmetric unit holds Th at (0.098, 0.250, 0.303), Tl at (0.468, 0.250, 0.719), Pd at (0.048, 0.750, 0.302), Pd at (0.247, 0.501, 0.985) and Pd at (0.389, 0.750, 0.652).

DFT (PBE) results for a geometry-optimized ThTlPd4 structure.

The volume comes out at 19.24 Å³ per atom. Its excess energy over the best structure of this formula in the dataset is 0 meV/atom. For the mass density, the calculation gives 12.4 g cm⁻³. The formation energy comes out at -352 kJ/mol of formula units.

It has space group F-43m (No. 216), with a = 7.729 Å, b = 7.729 Å, c = 7.729 Å, α = 90.00°, β = 90.00° and γ = 90.00°. The asymmetric unit holds Th at (0.000, 0.000, 0.000), Tl at (0.250, 0.250, 0.750) and Pd at (0.125, 0.125, 0.375).

DFT (PBE) results for a geometry-optimized ThTlPd2 structure.

The volume comes out at 21.74 Å³ per atom. For the mass density, the calculation gives 12.4 g cm⁻³. The formation energy comes out at -223 kJ/mol of formula units.

It has space group Fm-3m (No. 225), with a = 7.033 Å, b = 7.033 Å, c = 7.033 Å, α = 90.00°, β = 90.00° and γ = 90.00°. The asymmetric unit holds Th at (0.000, 0.000, 0.000), Tl at (0.000, 0.000, 0.500) and Pd at (0.250, 0.250, 0.250).

DFT (PBE) results for a geometry-optimized Th6Tl2Pd structure.

The volume comes out at 29.60 Å³ per atom. For the mass density, the calculation gives 11.9 g cm⁻³. The formation energy comes out at -201 kJ/mol of formula units.

It has space group P-62m (No. 189), with a = 9.0177 Å, b = 9.0177 Å, c = 3.7829 Å, α = 90.00°, β = 90.00° and γ = 120.00°. The asymmetric unit holds Th at (0.0000, 0.4033, 0.0000), Th at (0.0000, 0.7447, 0.5000), Tl at (0.3333, 0.6667, 0.5000) and Pd at (0.0000, 0.0000, 0.0000).

DFT (PBE) results for a geometry-optimized TmTh2Pd9 structure.

The volume comes out at 18.23 Å³ per atom. For the mass density, the calculation gives 12.1 g cm⁻³. The formation energy comes out at -1120 kJ/mol of formula units.

It has space group P4/mmm (No. 123), with a = 4.183 Å, b = 4.183 Å, c = 12.498 Å, α = 90.00°, β = 90.00° and γ = 90.00°. The asymmetric unit holds Tm at (0.000, 0.000, 0.000), Th at (0.000, 0.000, 0.328), Pd at (0.000, 0.500, 0.163), Pd at (0.000, 0.500, 0.500), Pd at (0.500, 0.500, 0.000) and Pd at (0.500, 0.500, 0.332).

DFT (PBE) results for a geometry-optimized TmThPd2 structure.

The volume comes out at 22.16 Å³ per atom. Its excess energy over the best structure of this formula in the dataset is 81 meV/atom. For the mass density, the calculation gives 11.5 g cm⁻³. The formation energy comes out at -302 kJ/mol of formula units.

It has space group P4/mmm (No. 123), with a = 3.441 Å, b = 3.441 Å, c = 7.487 Å, α = 90.00°, β = 90.00° and γ = 90.00°. The asymmetric unit holds Tm at (0.000, 0.000, 0.000), Th at (0.000, 0.000, 0.500) and Pd at (0.500, 0.500, 0.224).

DFT (PBE) results for a geometry-optimized TmTh2Pd structure.

The volume comes out at 27.94 Å³ per atom. Its excess energy over the best structure of this formula in the dataset is 0 meV/atom. For the mass density, the calculation gives 11.0 g cm⁻³. The formation energy comes out at -153 kJ/mol of formula units.

It has space group Cmcm (No. 63), with a = 3.699 Å, b = 11.704 Å, c = 10.328 Å, α = 90.00°, β = 90.00° and γ = 90.00°. The asymmetric unit holds Tm at (0.000, 0.083, 0.250), Th at (0.000, 0.366, 0.050) and Pd at (0.000, 0.223, 0.750).